(1)
# Tb4CdTc, relaxed, DFT GGA-PBE
# Calculated volume = 667.38 Å³ per cell
# Calculated formation energy = -0.1832 eV per atom
data_Tb4CdTc
_chemical_formula_sum 'Tb16 Cd4 Tc4'
_cell_length_a 8.6623
_cell_length_b 12.8048
_cell_length_c 6.2797
_cell_angle_alpha 90.00
_cell_angle_beta 106.64
_cell_angle_gamma 90.00
_symmetry_space_group_name_H-M 'C 1 2/c 1'
_symmetry_Int_Tables_number 15
_symmetry_space_group_name_Hall '-C 2yc'
loop_
_atom_site_label
_atom_site_fract_x
_atom_site_fract_y
_atom_site_fract_z
Tb1 0.1056 0.1694 0.0450
Tb2 0.2193 0.4188 0.3955
Cd1 0.0000 0.3746 0.7500
Tc1 0.0000 0.0011 0.2500

(2)
# TbCdTc, relaxed, DFT GGA-PBE
# Calculated volume = 286.44 Å³ per cell
# Calculated formation energy = 0.6904 eV per atom
data_TbCdTc
_chemical_formula_sum 'Tb4 Cd4 Tc4'
_cell_length_a 6.5919
_cell_length_b 6.5919
_cell_length_c 6.5919
_cell_angle_alpha 90.00
_cell_angle_beta 90.00
_cell_angle_gamma 90.00
_symmetry_space_group_name_H-M 'F -4 3 m'
_symmetry_Int_Tables_number 216
_symmetry_space_group_name_Hall 'F -4 2 3'
loop_
_atom_site_label
_atom_site_fract_x
_atom_site_fract_y
_atom_site_fract_z
Tb1 0.0000 0.0000 0.0000
Cd1 0.2500 0.2500 0.2500
Tc1 0.0000 0.0000 0.5000

(3)
# TbCd4Tc3, relaxed, DFT GGA-PBE
# Calculated volume = 484.68 Å³ per cell
# Calculated formation energy = 1.7088 eV per atom
data_TbCd4Tc3
_chemical_formula_sum 'Tb2 Cd8 Tc6'
_cell_length_a 6.2416
_cell_length_b 6.2416
_cell_length_c 12.4414
_cell_angle_alpha 90.00
_cell_angle_beta 90.00
_cell_angle_gamma 90.00
_symmetry_space_group_name_H-M 'I -4 2 m'
_symmetry_Int_Tables_number 121
_symmetry_space_group_name_Hall 'I -4 2'
loop_
_atom_site_label
_atom_site_fract_x
_atom_site_fract_y
_atom_site_fract_z
Tb1 0.0000 0.0000 0.0000
Cd1 0.2161 0.2161 0.3582
Tc1 0.0000 0.0000 0.5000
Tc2 0.0000 0.5000 0.2500